Computed, not measured: a geometry-optimized HoCuGe structure at the PBE-GGA level of DFT.

Cell and atoms, written as CIF:
```
data_HoCuGe
_chemical_formula_sum 'Ho2 Cu2 Ge2'
_symmetry_space_group_name_H-M 'P 1'
_symmetry_Int_Tables_number 1
_cell_length_a 4.2591
_cell_length_b 4.2591
_cell_length_c 7.1833
_cell_angle_alpha 90.00
_cell_angle_beta 90.00
_cell_angle_gamma 120.00
loop_
_symmetry_equiv_pos_as_xyz
'x,y,z'
loop_
_atom_site_label
_atom_site_type_symbol
_atom_site_fract_x
_atom_site_fract_y
_atom_site_fract_z
Ho1 Ho 0.0000 0.0000 0.0000
Ho2 Ho 0.0000 0.0000 0.5000
Cu1 Cu 0.3333 0.6667 0.2837
Cu2 Cu 0.6667 0.3333 0.7837
Ge1 Ge 0.3333 0.6667 0.7249
Ge2 Ge 0.6667 0.3333 0.2249
```

Values from the calculation:
The value obtained for the formation energy is -0.69 eV/atom. As for the density of states at the Fermi level: 0.1293 states/eV/atom. The space group is No. 186.



Computed, not measured: a geometry-optimized Pm8Ni3OsI4 structure at the PBE-GGA level of DFT.

Cell and atoms, written as CIF:
```
data_Pm8Ni3OsI4
_chemical_formula_sum 'Pm8 Ni3 Os1 I4'
_symmetry_space_group_name_H-M 'P 1'
_symmetry_Int_Tables_number 1
_cell_length_a 9.3620
_cell_length_b 9.3620
_cell_length_c 9.3620
_cell_angle_alpha 52.18
_cell_angle_beta 52.18
_cell_angle_gamma 52.18
loop_
_symmetry_equiv_pos_as_xyz
'x,y,z'
loop_
_atom_site_label
_atom_site_type_symbol
_atom_site_fract_x
_atom_site_fract_y
_atom_site_fract_z
Pm1 Pm 0.2266 0.2266 0.2266
Pm2 Pm 0.2300 0.7275 0.7275
Pm3 Pm 0.2725 0.2725 0.7700
Pm4 Pm 0.2725 0.7700 0.2725
Pm5 Pm 0.7275 0.2300 0.7275
Pm6 Pm 0.7275 0.7275 0.2300
Pm7 Pm 0.7700 0.2725 0.2725
Pm8 Pm 0.7734 0.7734 0.7734
Ni1 Ni 0.0000 0.0000 0.5000
Ni2 Ni 0.0000 0.5000 0.0000
Ni3 Ni 0.5000 0.0000 0.0000
Os1 Os 0.5000 0.5000 0.5000
I1 I 0.0000 0.0000 0.0000
I2 I 0.0000 0.5000 0.5000
I3 I 0.5000 0.0000 0.5000
I4 I 0.5000 0.5000 0.0000
```

Values from the calculation:
As for the density of states at the Fermi level: 0.5936 states/eV/atom. The space group is No. 166. Its uncorrected formation energy is -0.6663 eV per atom.



Computed, not measured: a geometry-optimized SrCuSbSe3 structure at the PBE-GGA level of DFT.

Cell and atoms, written as CIF:
```
data_SrCuSbSe3
_chemical_formula_sum 'Sr2 Cu2 Sb2 Se6'
_symmetry_space_group_name_H-M 'P 1'
_symmetry_Int_Tables_number 1
_cell_length_a 8.7076
_cell_length_b 4.1175
_cell_length_c 9.0082
_cell_angle_alpha 90.00
_cell_angle_beta 102.74
_cell_angle_gamma 90.00
loop_
_symmetry_equiv_pos_as_xyz
'x,y,z'
loop_
_atom_site_label
_atom_site_type_symbol
_atom_site_fract_x
_atom_site_fract_y
_atom_site_fract_z
Sr1 Sr 0.1771 0.2500 0.2439
Sr2 Sr 0.8229 0.7500 0.7561
Cu1 Cu 0.0728 0.2500 0.5773
Cu2 Cu 0.9272 0.7500 0.4227
Sb1 Sb 0.3337 0.7500 0.8423
Sb2 Sb 0.6663 0.2500 0.1577
Se1 Se 0.1093 0.2500 0.8699
Se2 Se 0.2194 0.7500 0.5143
Se3 Se 0.4318 0.7500 0.1675
Se4 Se 0.5682 0.2500 0.8325
Se5 Se 0.7806 0.2500 0.4857
Se6 Se 0.8907 0.7500 0.1301
```

Values from the calculation:
The space group is No. 11. Its uncorrected formation energy is -0.8023 eV per atom.



Computed, not measured: a geometry-optimized ScHgPb structure at the PBE-GGA level of DFT.

Cell and atoms, written as CIF:
```
data_ScHgPb
_chemical_formula_sum 'Sc1 Hg1 Pb1'
_symmetry_space_group_name_H-M 'P 1'
_symmetry_Int_Tables_number 1
_cell_length_a 3.4831
_cell_length_b 3.4831
_cell_length_c 7.3943
_cell_angle_alpha 90.00
_cell_angle_beta 90.00
_cell_angle_gamma 120.00
loop_
_symmetry_equiv_pos_as_xyz
'x,y,z'
loop_
_atom_site_label
_atom_site_type_symbol
_atom_site_fract_x
_atom_site_fract_y
_atom_site_fract_z
Sc1 Sc 0.0000 0.0000 0.0000
Hg1 Hg 0.6667 0.3333 0.3036
Pb1 Pb 0.3333 0.6667 0.6622
```

Values from the calculation:
The value obtained for the formation energy is -0.11 eV/atom. As for the density of states at the Fermi level: 0.9902 states/eV/atom. The space group is No. 156.



Computed, not measured: a geometry-optimized ZrTaMoRu structure at the PBE-GGA level of DFT.

Cell and atoms, written as CIF:
```
data_ZrTaMoRu
_chemical_formula_sum 'Zr4 Ta4 Mo4 Ru4'
_symmetry_space_group_name_H-M 'P 1'
_symmetry_Int_Tables_number 1
_cell_length_a 6.4948
_cell_length_b 6.4948
_cell_length_c 6.4948
_cell_angle_alpha 90.00
_cell_angle_beta 90.00
_cell_angle_gamma 90.00
loop_
_symmetry_equiv_pos_as_xyz
'x,y,z'
loop_
_atom_site_label
_atom_site_type_symbol
_atom_site_fract_x
_atom_site_fract_y
_atom_site_fract_z
Zr1 Zr 0.0000 0.0000 0.0000
Zr2 Zr 0.0000 0.5000 0.5000
Zr3 Zr 0.5000 0.0000 0.5000
Zr4 Zr 0.5000 0.5000 0.0000
Ta1 Ta 0.0000 0.0000 0.5000
Ta2 Ta 0.0000 0.5000 0.0000
Ta3 Ta 0.5000 0.0000 0.0000
Ta4 Ta 0.5000 0.5000 0.5000
Mo1 Mo 0.2500 0.2500 0.7500
Mo2 Mo 0.2500 0.7500 0.2500
Mo3 Mo 0.7500 0.2500 0.2500
Mo4 Mo 0.7500 0.7500 0.7500
Ru1 Ru 0.2500 0.2500 0.2500
Ru2 Ru 0.2500 0.7500 0.7500
Ru3 Ru 0.7500 0.2500 0.7500
Ru4 Ru 0.7500 0.7500 0.2500
```

Values from the calculation:
The value obtained for the formation energy is -0.33 eV/atom. As for the density of states at the Fermi level: 0.7107 states/eV/atom. The space group is No. 216.



Computed, not measured: a geometry-optimized CdPb2W structure at the PBE-GGA level of DFT.

Cell and atoms, written as CIF:
```
data_CdPb2W
_chemical_formula_sum 'Cd4 Pb8 W4'
_symmetry_space_group_name_H-M 'P 1'
_symmetry_Int_Tables_number 1
_cell_length_a 7.3295
_cell_length_b 7.3295
_cell_length_c 7.3295
_cell_angle_alpha 90.00
_cell_angle_beta 90.00
_cell_angle_gamma 90.00
loop_
_symmetry_equiv_pos_as_xyz
'x,y,z'
loop_
_atom_site_label
_atom_site_type_symbol
_atom_site_fract_x
_atom_site_fract_y
_atom_site_fract_z
Cd1 Cd 0.0000 0.0000 0.0000
Cd2 Cd 0.0000 0.5000 0.5000
Cd3 Cd 0.5000 0.0000 0.5000
Cd4 Cd 0.5000 0.5000 0.0000
Pb1 Pb 0.0000 0.0000 0.5000
Pb2 Pb 0.0000 0.5000 0.0000
Pb3 Pb 0.2500 0.2500 0.7500
Pb4 Pb 0.2500 0.7500 0.2500
Pb5 Pb 0.5000 0.0000 0.0000
Pb6 Pb 0.5000 0.5000 0.5000
Pb7 Pb 0.7500 0.2500 0.2500
Pb8 Pb 0.7500 0.7500 0.7500
W1 W 0.2500 0.2500 0.2500
W2 W 0.2500 0.7500 0.7500
W3 W 0.7500 0.2500 0.7500
W4 W 0.7500 0.7500 0.2500
```

Values from the calculation:
The value obtained for the formation energy is 1.08 eV/atom. As for the density of states at the Fermi level: 0.8213 states/eV/atom. The space group is No. 216.



Computed, not measured: a geometry-optimized NaSrSeBr structure at the PBE-GGA level of DFT.

Cell and atoms, written as CIF:
```
data_NaSrSeBr
_chemical_formula_sum 'Na4 Sr4 Se4 Br4'
_symmetry_space_group_name_H-M 'P 1'
_symmetry_Int_Tables_number 1
_cell_length_a 7.5450
_cell_length_b 7.5450
_cell_length_c 7.5450
_cell_angle_alpha 90.00
_cell_angle_beta 90.00
_cell_angle_gamma 90.00
loop_
_symmetry_equiv_pos_as_xyz
'x,y,z'
loop_
_atom_site_label
_atom_site_type_symbol
_atom_site_fract_x
_atom_site_fract_y
_atom_site_fract_z
Na1 Na 0.0000 0.0000 0.0000
Na2 Na 0.0000 0.5000 0.5000
Na3 Na 0.5000 0.0000 0.5000
Na4 Na 0.5000 0.5000 0.0000
Sr1 Sr 0.0000 0.0000 0.5000
Sr2 Sr 0.0000 0.5000 0.0000
Sr3 Sr 0.5000 0.0000 0.0000
Sr4 Sr 0.5000 0.5000 0.5000
Se1 Se 0.2500 0.2500 0.7500
Se2 Se 0.2500 0.7500 0.2500
Se3 Se 0.7500 0.2500 0.2500
Se4 Se 0.7500 0.7500 0.7500
Br1 Br 0.2500 0.2500 0.2500
Br2 Br 0.2500 0.7500 0.7500
Br3 Br 0.7500 0.2500 0.7500
Br4 Br 0.7500 0.7500 0.2500
```

Values from the calculation:
As for the density of states at the Fermi level: 0.0000 states/eV/atom. The space group is No. 216. Its uncorrected formation energy is -1.5886 eV per atom.



Computed, not measured: a geometry-optimized Fe2CoRu2 structure at the PBE-GGA level of DFT.

Cell and atoms, written as CIF:
```
data_Fe2CoRu2
_chemical_formula_sum 'Fe4 Co2 Ru4'
_symmetry_space_group_name_H-M 'P 1'
_symmetry_Int_Tables_number 1
_cell_length_a 6.9091
_cell_length_b 6.9091
_cell_length_c 2.6355
_cell_angle_alpha 90.00
_cell_angle_beta 90.00
_cell_angle_gamma 90.00
loop_
_symmetry_equiv_pos_as_xyz
'x,y,z'
loop_
_atom_site_label
_atom_site_type_symbol
_atom_site_fract_x
_atom_site_fract_y
_atom_site_fract_z
Fe1 Fe 0.1199 0.3801 0.0000
Fe2 Fe 0.3801 0.8801 0.0000
Fe3 Fe 0.6199 0.1199 0.0000
Fe4 Fe 0.8801 0.6199 0.0000
Co1 Co 0.0000 0.0000 0.0000
Co2 Co 0.5000 0.5000 0.0000
Ru1 Ru 0.1750 0.6750 0.5000
Ru2 Ru 0.3250 0.1750 0.5000
Ru3 Ru 0.6750 0.8250 0.5000
Ru4 Ru 0.8250 0.3250 0.5000
```

Values from the calculation:
The value obtained for the formation energy is 0.34 eV/atom. As for the density of states at the Fermi level: 1.1101 states/eV/atom. The space group is No. 127.



Computed, not measured: a geometry-optimized MnCuAu5 structure at the PBE-GGA level of DFT.

Cell and atoms, written as CIF:
```
data_MnCuAu5
_chemical_formula_sum 'Mn2 Cu2 Au10'
_symmetry_space_group_name_H-M 'P 1'
_symmetry_Int_Tables_number 1
_cell_length_a 5.9891
_cell_length_b 5.9969
_cell_length_c 6.9108
_cell_angle_alpha 90.00
_cell_angle_beta 90.00
_cell_angle_gamma 90.00
loop_
_symmetry_equiv_pos_as_xyz
'x,y,z'
loop_
_atom_site_label
_atom_site_type_symbol
_atom_site_fract_x
_atom_site_fract_y
_atom_site_fract_z
Mn1 Mn 0.0000 0.0000 0.0000
Mn2 Mn 0.5000 0.5000 0.0000
Cu1 Cu 0.0000 0.5000 0.5000
Cu2 Cu 0.5000 0.0000 0.5000
Au1 Au 0.0000 0.5000 0.0000
Au2 Au 0.2500 0.2500 0.2795
Au3 Au 0.2500 0.2500 0.7205
Au4 Au 0.2500 0.7500 0.2795
Au5 Au 0.2500 0.7500 0.7205
Au6 Au 0.5000 0.0000 0.0000
Au7 Au 0.7500 0.2500 0.2795
Au8 Au 0.7500 0.2500 0.7205
Au9 Au 0.7500 0.7500 0.2795
Au10 Au 0.7500 0.7500 0.7205
```

Values from the calculation:
The value obtained for the formation energy is 0.00 eV/atom. As for the density of states at the Fermi level: 0.2550 states/eV/atom. The space group is No. 65.